Model one:
VASP calculation (PBE) on a geometry-optimized GeBiSCl2 structure.

```
GeBiSCl2
1.0
5.362 0.000 0.000
0.000 5.362 0.000
0.000 0.000 5.461
Ge Bi S Cl
1 1 1 2
Cartesian
0.000 0.000 0.000
2.681 2.681 2.731
2.681 2.681 0.000
0.000 2.681 2.731
2.681 0.000 2.731
```

=====

Model two:
VASP calculation (PBE) on a geometry-optimized GeBiSCl2 structure.

```
GeBiSCl2
1.0
4.940 0.000 0.000
0.000 4.940 0.000
0.000 0.000 5.100
Ge Bi S Cl
1 1 1 2
Cartesian
0.000 0.000 0.000
2.470 2.470 2.550
0.000 0.000 2.550
0.000 2.470 0.000
2.470 0.000 0.000
```

=====

Quick one: most stable of them? model two

=====

Model one:
VASP calculation (PBE) on a geometry-optimized Sc2GeBiCl structure.

```
Sc2GeBiCl
1.0
4.774 0.000 0.000
0.000 4.774 0.000
0.000 0.000 5.695
Sc Ge Bi Cl
2 1 1 1
Cartesian
0.000 2.387 0.000
2.387 0.000 0.000
0.000 0.000 2.848
2.387 2.387 2.848
2.387 2.387 0.000
```

=====

Model two:
VASP calculation (PBE) on a geometry-optimized Sc2GeBiCl structure.

```
Sc2GeBiCl
1.0
5.632 0.000 0.000
0.000 5.632 0.000
0.000 0.000 5.387
Sc Ge Bi Cl
2 1 1 1
Cartesian
0.000 2.816 0.000
2.816 0.000 0.000
0.000 0.000 2.694
0.000 0.000 0.000
2.816 2.816 2.694
```

=====

Quick one: most stable of them? model one

=====

Model one:
VASP calculation (PBE) on a geometry-optimized Bi2HCl structure.

```
Bi2HCl
1.0
0.000 3.555 3.555
3.555 0.000 3.555
3.555 3.555 0.000
Bi H Cl
2 1 1
Cartesian
1.778 1.778 1.778
5.333 5.333 5.333
0.000 0.000 0.000
3.555 3.555 3.555
```

=====

Model two:
VASP calculation (PBE) on a geometry-optimized Bi2HCl structure.

```
Bi2HCl
1.0
-3.151 3.151 5.211
3.151 -3.151 5.211
3.151 3.151 -5.211
Bi H Cl
4 2 2
Cartesian
4.726 0.836 -1.303
0.836 1.575 1.303
-1.575 2.315 3.908
2.315 1.575 6.514
0.000 0.000 0.000
0.000 3.151 2.605
3.151 0.000 2.605
0.000 0.000 5.211
```

=====

Quick one: most stable of them? model two

=====

Model one:
VASP calculation (PBE) on a geometry-optimized BiH3Cl structure.

```
BiH3Cl
1.0
4.061 0.000 0.000
0.000 4.061 0.000
0.000 0.000 4.061
Bi H Cl
1 3 1
Cartesian
0.000 0.000 0.000
0.000 0.000 2.030
0.000 2.030 0.000
2.030 0.000 0.000
2.030 2.030 2.030
```

=====

Model two:
VASP calculation (PBE) on a geometry-optimized BiH3Cl structure.

```
BiH3Cl
1.0
3.944 0.000 0.000
0.000 3.944 0.000
0.000 0.000 3.944
Bi H Cl
1 3 1
Cartesian
0.000 0.000 0.000
0.000 1.972 1.972
1.972 0.000 1.972
1.972 1.972 0.000
1.972 1.972 1.972
```

=====

Quick one: most stable of them? model one

=====

Model one:
VASP calculation (PBE) on a geometry-optimized BiH2Cl structure.

```
BiH2Cl
1.0
4.567 0.000 0.000
0.038 4.612 0.000
2.264 -0.001 9.215
Bi H Cl
2 4 2
Cartesian
0.000 0.000 0.000
2.302 2.306 0.000
0.973 3.776 3.707
1.373 3.141 3.711
5.496 1.470 5.504
5.897 0.835 5.508
3.435 3.458 6.973
3.435 1.153 2.242
```

=====

Model two:
VASP calculation (PBE) on a geometry-optimized BiH2Cl structure.

```
BiH2Cl
1.0
-2.326 2.326 6.564
2.326 -2.326 6.564
2.326 2.326 -6.564
Bi H Cl
2 4 2
Cartesian
2.326 1.163 1.641
0.000 1.163 4.923
2.326 0.000 0.000
-1.163 1.163 3.282
0.000 0.000 6.564
1.163 1.163 3.282
2.326 -1.163 4.923
0.000 3.489 1.641
```

=====

Model three:
VASP calculation (PBE) on a geometry-optimized BiH2Cl structure.

```
BiH2Cl
1.0
0.000 3.040 3.040
3.040 0.000 3.040
3.040 3.040 0.000
Bi H Cl
1 2 1
Cartesian
0.000 0.000 0.000
1.520 1.520 1.520
4.560 4.560 4.560
3.040 3.040 3.040
```

=====

Quick one: most stable of them? model one

=====

Model one:
VASP calculation (PBE) on a geometry-optimized BiPHCl2 structure.

```
BiPHCl2
1.0
5.494 0.000 0.000
0.000 5.494 0.000
0.000 0.000 5.683
Bi P H Cl
1 1 1 2
Cartesian
0.000 0.000 0.000
0.000 0.000 2.842
2.747 2.747 2.842
0.000 2.747 0.000
2.747 0.000 0.000
```

=====

Model two:
VASP calculation (PBE) on a geometry-optimized BiPHCl2 structure.

```
BiPHCl2
1.0
4.372 0.000 0.000
0.000 4.372 0.000
0.000 0.000 4.657
Bi P H Cl
1 1 1 2
Cartesian
0.000 0.000 0.000
2.186 2.186 0.000
2.186 2.186 2.328
0.000 2.186 2.328
2.186 0.000 2.328
```

=====

Quick one: most stable of them? model one

=====

Model one:
VASP calculation (PBE) on a geometry-optimized BiHSCl2 structure.

```
BiHSCl2
1.0
5.462 0.000 0.000
0.000 5.462 0.000
0.000 0.000 5.307
Bi H S Cl
1 1 1 2
Cartesian
0.000 0.000 0.000
2.731 2.731 2.653
0.000 0.000 2.653
0.000 2.731 0.000
2.731 0.000 0.000
```

=====

Model two:
VASP calculation (PBE) on a geometry-optimized BiHSCl2 structure.

```
BiHSCl2
1.0
4.155 0.000 0.000
0.000 4.155 0.000
0.000 0.000 5.321
Bi H S Cl
1 1 1 2
Cartesian
0.000 0.000 0.000
2.078 2.078 2.661
2.078 2.078 0.000
0.000 2.078 2.661
2.078 0.000 2.661
```

=====

Quick one: most stable of them? model one

=====

Model one:
VASP calculation (PBE) on a geometry-optimized Hf2BiCl structure.

```
Hf2BiCl
1.0
0.000 3.496 3.496
3.496 0.000 3.496
3.496 3.496 0.000
Hf Bi Cl
2 1 1
Cartesian
1.748 1.748 1.748
5.244 5.244 5.244
0.000 0.000 0.000
3.496 3.496 3.496
```

=====

Model two:
VASP calculation (PBE) on a geometry-optimized Hf2BiCl structure.

```
Hf2BiCl
1.0
-2.569 2.569 8.273
2.569 -2.569 8.273
2.569 2.569 -8.273
Hf Bi Cl
4 2 2
Cartesian
3.853 0.847 -2.068
0.847 1.284 2.068
-1.284 1.722 6.205
1.722 1.284 10.341
2.569 0.000 4.136
0.000 0.000 8.273
0.000 0.000 0.000
0.000 2.569 4.136
```

=====

Quick one: most stable of them? model one